Entry 1:
Li2CeCrH8 | PBE | optimized geometry

Calculated values
crystal system: triclinic
DOS(E_F): 3.2 states/eV/cell
uncorrected energy: -4.05 eV/atom
density: 3.58 g/cm3

Lattice parameters (Å, degrees): 3.2323 5.4530 5.8022 78.37 86.09 82.58
Last column: nearest neighbours and their distance in Å.
Space group P-1 (No. 2)
One atom of each set of equivalent atoms:
Li  0.0913  0.0741  0.2284  5 H 1.86-2.08
Ce  0.5000  0.5000  0.5000  10 H 2.26-2.41
Cr  0.5000  0.5000  0.0000  6 H 1.71-1.85
H  0.0074  0.4959  0.8324  2 Cr 1.85-1.93, 1 H 1.95
H  0.0592  0.2008  0.5384  2 Li 1.90-2.04
H  0.4469  0.7547  0.7720  1 Cr 1.71, 2 Li 1.86
H  0.4482  0.7624  0.1312  1 Cr 1.74

=====

Entry 2:
La2Al2Fe | PBE | optimized geometry

Calculated values
crystal system: tetragonal
ΔH_f (0 K): 0.1 eV per formula unit
DOS(E_F): 14.3 states/eV/cell
uncorrected energy: -5.14 eV/atom
density: 5.68 g/cm3

Lattice parameters (Å, degrees): 6.6378 6.6378 5.1471 90.00 90.00 90.00
Last column: nearest neighbours and their distance in Å.
Space group P4/mbm (No. 127)
One atom of each set of equivalent atoms:
La  0.1728  0.3272  0.0000  6 Al 3.07-3.35, 1 La 3.24
Al  0.1498  0.6498  0.5000  2 Fe 2.53, 1 Al 2.81
Fe  0.0000  0.0000  0.5000  4 Al 2.53